VASP calculation (GGA-PBE) on an optimized crystal structure of Ti2TeO.

The structure belongs to space group I-42d (No. 122); the cell edges are 5.132, 5.132 and 11.471 Å and the angles 90.00°, 90.00° and 90.00°. The distinct sites, in fractional coordinates, are Ti at (0.106, 0.250, 0.125), Te at (0.000, 0.000, 0.500) and O at (0.000, 0.000, 0.000).

For the total magnetization, the calculation gives 0.00 μB/atom. The formation energy (no corrections) comes out at -1.273 eV/atom. The polymorph energy (0 for the lowest one) comes out at 0.000 eV per formula unit.